This record from the Alexandria database describes a geometry-optimized CrCdPt2 structure. The functional is PBE-GGA.

Calculated values
For the total DFT energy (no corrections), the calculation gives -22.63 eV/cell. Its size of the total moment is 3.84 μB/f.u. The symmetry is No. 216. The density of states at the Fermi level comes out at 4.12 states/eV/f.u. The value obtained for the formation enthalpy at 0 K is -2 meV per atom.

Cell lengths 4.5498, 4.5498, 4.5498 Å; angles 60.00, 60.00, 60.00 degrees
Closest atoms and distances in Å follow each position.
Atoms (fractional coordinates):
1 Pt 0.0000 0.0000 0.0000  4 Pt 2.79, 4 Cr 2.79
2 Pt 0.7500 0.7500 0.7500  4 Pt 2.79, 4 Cd 2.79
3 Cd 0.5000 0.5000 0.5000  4 Cr 2.79, 4 Pt 2.79
4 Cr 0.2500 0.2500 0.2500  4 Cd 2.79, 4 Pt 2.79